# 1
# Li2Mg8Ir | Alexandria via LeMat-Bulk | PBE-GGA | optimized geometry
# - Energy relative to the elements: -0.113 eV/atom
# - Fermi-level density of states: 0.3224 states/eV per atom
# - Energy: -53.382 eV/cell
data_Li2Mg8Ir
_chemical_formula_sum 'Li4 Mg16 Ir2'
_cell_length_a 14.370
_cell_length_b 4.651
_cell_length_c 7.282
_cell_angle_alpha 90.00
_cell_angle_beta 117.37
_cell_angle_gamma 90.00
_symmetry_space_group_name_H-M 'C 1 2/m 1'
_symmetry_Int_Tables_number 12
_symmetry_space_group_name_Hall '-C 2y'
loop_
_atom_site_label
_atom_site_type_symbol
_atom_site_fract_x
_atom_site_fract_y
_atom_site_fract_z
Li1 Li 0.228 0.000 0.146
Mg1 Mg 0.046 0.000 0.226
Mg2 Mg 0.095 0.500 0.929
Mg3 Mg 0.126 0.000 0.666
Mg4 Mg 0.171 0.500 0.420
Ir1 Ir 0.000 0.500 0.500

=====

# 2
# RbTl5 | Alexandria via LeMat-Bulk | PBE-GGA | optimized geometry
# - Energy relative to the elements: 0.025 eV/atom
# - Fermi-level density of states: 0.5634 states/eV per atom
# - Energy: -25.295 eV/cell
# - Energy above the lowest structure with this stoichiometry: 63 meV/atom
data_RbTl5
_chemical_formula_sum 'Rb2 Tl10'
_cell_length_a 5.264
_cell_length_b 5.208
_cell_length_c 17.153
_cell_angle_alpha 90.00
_cell_angle_beta 90.00
_cell_angle_gamma 90.00
_symmetry_space_group_name_H-M 'A m m 2'
_symmetry_Int_Tables_number 38
_symmetry_space_group_name_Hall 'A 2 -2'
loop_
_atom_site_label
_atom_site_type_symbol
_atom_site_fract_x
_atom_site_fract_y
_atom_site_fract_z
Rb1 Rb 0.000 0.000 0.000
Tl1 Tl 0.000 0.000 0.297
Tl2 Tl 0.000 0.000 0.691
Tl3 Tl 0.500 0.000 0.414
Tl4 Tl 0.500 0.000 0.599
Tl5 Tl 0.500 0.000 0.804

=====

# 3
# SmY2In2Hg2 | Alexandria via LeMat-Bulk | PBE-GGA | optimized geometry
# - Energy relative to the elements: -0.294 eV/atom
# - Fermi-level density of states: 0.6306 states/eV per atom
# - Energy: -77.358 eV/cell
data_SmY2In2Hg2
_chemical_formula_sum 'Sm3 Y6 In6 Hg6'
_cell_length_a 4.9506
_cell_length_b 4.9506
_cell_length_c 26.9034
_cell_angle_alpha 90.00
_cell_angle_beta 90.00
_cell_angle_gamma 120.00
_symmetry_space_group_name_H-M 'R -3 m'
_symmetry_Int_Tables_number 166
_symmetry_space_group_name_Hall '-R 3 2"'
loop_
_atom_site_label
_atom_site_type_symbol
_atom_site_fract_x
_atom_site_fract_y
_atom_site_fract_z
Sm1 Sm 0.0000 0.0000 0.0000
Y1 Y 0.0000 0.0000 0.1314
In1 In 0.0000 0.0000 0.2677
Hg1 Hg 0.0000 0.0000 0.4270